Ca4MnPt | the Alexandria database | SCAN | single point on PBEsol structure; space-group type = F-43m; M_tot = 5.06 μB/f.u.; final energy = -20.60 eV per atom
1.0
6.042 0.000 0.000
3.021 5.233 0.000
3.021 1.744 4.933
Mn Ca Pt
1 4 1
Cartesian
9.063 5.233 3.700
6.042 3.488 4.332
7.565 2.609 1.845
4.519 2.609 1.845
6.042 5.247 1.845
0.000 0.000 0.000



BaGe2O5 | the Alexandria database | SCAN | single point on PBEsol structure; space-group type = Cmce; M_tot = 0.00 μB/f.u.; formation energy (no corrections) = -2218 meV per atom; final energy = -15.83 eV per atom
1.0
5.546 0.000 0.000
-2.773 4.942 0.000
0.000 0.000 14.312
O Ge Ba
20 8 4
Cartesian
0.000 4.901 3.405
-1.349 4.045 1.323
-1.424 4.045 5.833
2.773 0.041 10.907
-1.387 2.493 3.578
1.424 4.045 5.833
1.424 0.897 12.989
1.387 2.493 3.578
4.122 0.897 12.989
1.349 4.045 1.323
2.773 3.284 12.888
0.000 1.658 1.424
4.160 2.450 10.734
2.773 4.901 3.751
0.000 0.041 10.561
1.349 0.897 8.478
0.000 3.284 8.580
4.197 0.897 8.478
2.773 1.658 5.732
1.387 2.450 10.734
2.773 3.242 4.552
2.773 1.701 11.708
0.000 3.242 2.604
0.000 1.701 9.760
2.773 0.041 9.169
0.000 4.902 5.142
2.773 4.902 2.013
0.000 0.041 12.298
0.000 3.332 13.154
0.000 1.611 5.998
2.773 3.332 8.314
2.773 1.611 1.158